{
  "formula": "SrLi2Tl4Ag",
  "functional": "PBE",
  "state": "relaxed",
  "lattice_angstrom": [[-1.731, 3.194, -3.183], [-3.742, -1.182, -2.816], [-8.279, 4.231, 5.083]],
  "species": ["Sr", "Li", "Li", "Tl", "Tl", "Tl", "Tl", "Ag"],
  "frac_coords": [[0.000, 0.000, 0.000], [0.778, 0.778, 0.667], [0.222, 0.222, 0.333], [0.399, 0.399, 0.802], [0.877, 0.877, 0.369], [0.123, 0.123, 0.631], [0.601, 0.601, 0.198], [0.500, 0.500, 0.500]],
  "space_group": "R-3m (166)",
  "crystal_system": "trigonal",
  "m_tot_mub_per_fu": 0.0,
  "delta_e_f_ev_per_atom": -0.19,
  "volume_a3_per_cell": 207
}


{
  "formula": "TaCu2AgPd",
  "functional": "PBE",
  "state": "relaxed",
  "lattice_angstrom": [[-2.793, 0.435, -3.710], [-3.603, -1.826, 2.499], [-1.197, 4.284, 1.403]],
  "species": ["Cu", "Cu", "Pd", "Ag", "Ta"],
  "frac_coords": [[0.000, 0.000, 0.500], [0.500, 0.000, 0.000], [0.000, 0.000, 0.000], [0.500, 0.500, 0.500], [0.000, 0.500, 0.000]],
  "space_group": "P4/mmm (123)",
  "crystal_system": "tetragonal",
  "m_tot_mub_per_fu": 0.5,
  "delta_e_f_ev_per_atom": 1.08,
  "volume_a3_per_cell": 103
}


{
  "formula": "PmSiAu",
  "functional": "PBE",
  "state": "relaxed",
  "lattice_angstrom": [[-3.781, -1.107, -1.423], [1.498, 0.049, -4.018], [0.185, -3.606, 2.314]],
  "species": ["Si", "Au", "Pm"],
  "frac_coords": [[0.166, 0.000, 0.000], [0.167, 0.333, 0.667], [0.667, 0.667, 0.333]],
  "space_group": "P3m1 (156)",
  "crystal_system": "trigonal",
  "m_tot_mub_per_fu": 0.0,
  "raw_formation_energy_ev_per_atom": -0.807,
  "de_polymorph_mev_per_atom": 10,
  "volume_a3_per_cell": 67
}


{
  "formula": "Sr2SbMo",
  "functional": "PBE",
  "state": "relaxed",
  "lattice_angstrom": [[3.336, 0.008, 0.000], [-0.008, 3.336, 0.000], [0.000, 0.000, 10.050]],
  "species": ["Mo", "Sb", "Sr", "Sr"],
  "frac_coords": [[0.500, 0.500, 0.250], [0.500, 0.500, 0.750], [0.000, 0.000, 0.008], [0.000, 0.000, 0.492]],
  "space_group": "P4/mmm (123)",
  "crystal_system": "tetragonal",
  "m_tot_mub_per_fu": 0.0,
  "raw_formation_energy_ev_per_atom": 0.386,
  "volume_a3_per_cell": 112
}


{
  "formula": "Ce4SmGa3",
  "functional": "PBE",
  "state": "relaxed",
  "lattice_angstrom": [[4.477, 0.000, 0.000], [0.000, 4.484, -1.222], [-2.239, -4.119, 10.802]],
  "species": ["Ce", "Ce", "Ce", "Ce", "Sm", "Ga", "Ga", "Ga"],
  "frac_coords": [[0.637, 0.859, 0.274], [0.363, 0.141, 0.726], [0.863, 0.531, 0.726], [0.137, 0.469, 0.274], [0.500, 0.000, 0.000], [0.000, 0.500, 0.000], [0.250, 0.308, 0.501], [0.750, 0.692, 0.499]],
  "space_group": "C2/m (12)",
  "crystal_system": "monoclinic",
  "m_tot_mub_per_fu": 1.7,
  "delta_e_f_ev_per_atom": -0.34,
  "volume_a3_per_cell": 194
}


{
  "formula": "Pm3Pr3SmSe8",
  "functional": "PBE",
  "state": "relaxed",
  "lattice_angstrom": [[8.417, 0.000, 0.000], [-4.209, 7.291, -0.024], [0.000, -4.836, 6.921]],
  "species": ["Pm", "Pm", "Pm", "Pr", "Pr", "Pr", "Sm", "Se", "Se", "Se", "Se", "Se", "Se", "Se", "Se"],
  "frac_coords": [[0.500, 0.000, 0.500], [0.500, 0.500, 0.500], [0.000, 0.500, 0.500], [0.000, 0.000, 0.000], [0.000, 0.500, 0.000], [0.500, 0.500, 0.000], [0.000, 0.000, 0.500], [0.252, 0.504, 0.256], [0.748, 0.496, 0.744], [0.750, 0.499, 0.253], [0.250, 0.501, 0.747], [0.750, 0.004, 0.253], [0.250, 0.996, 0.747], [0.254, 0.004, 0.253], [0.746, 0.996, 0.747]],
  "space_group": "R-3m (166)",
  "crystal_system": "trigonal",
  "m_tot_mub_per_fu": 0.0,
  "raw_formation_energy_ev_per_atom": -1.877,
  "volume_a3_per_cell": 424
}


no.,total energy (eV/atom),N(E_F) (states/eV/cell)
1,-2.4216,2.88
2,-4.5361,4.52
3,-5.2906,1.67
4,-4.1937,1.06
5,-5.0362,16.49
6,-5.9564,6.99